Entry 1:
# Pa2MnNi12As3, relaxed, DFT PBE
data_Pa2MnNi12As3
_symmetry_space_group_name_H-M 'P 1'
_symmetry_Int_Tables_number 1
_cell_length_a 6.3642
_cell_length_b 6.3642
_cell_length_c 6.3642
_cell_angle_alpha 83.78
_cell_angle_beta 83.78
_cell_angle_gamma 83.78
loop_
_symmetry_equiv_pos_as_xyz
'x,y,z'
loop_
_atom_site_label
_atom_site_type_symbol
_atom_site_fract_x
_atom_site_fract_y
_atom_site_fract_z
Ni1 Ni 0.3031 0.8053 0.8053
Ni2 Ni 0.8053 0.8053 0.3031
Ni3 Ni 0.6028 0.6028 0.1148
Ni4 Ni 0.3972 0.8852 0.3972
Ni5 Ni 0.3972 0.3972 0.8852
Ni6 Ni 0.1947 0.6969 0.1947
Ni7 Ni 0.8053 0.3031 0.8053
Ni8 Ni 0.8852 0.3972 0.3972
Ni9 Ni 0.6969 0.1947 0.1947
Ni10 Ni 0.1947 0.1947 0.6969
Ni11 Ni 0.1148 0.6028 0.6028
Ni12 Ni 0.6028 0.1148 0.6028
As1 As 0.0000 0.0000 0.5000
As2 As 0.0000 0.5000 0.0000
As3 As 0.5000 0.0000 0.0000
Mn1 Mn 0.0000 0.0000 0.0000
Pa1 Pa 0.3300 0.3300 0.3300
Pa2 Pa 0.6700 0.6700 0.6700
# Energy of formation from the pure elements, kJ/mol of formula units: -238
# VASP energy, eV per atom: -6.331
# Space-group type: R-3m, No. 166

---

Entry 2:
# Pm2MnNi4As3, relaxed, DFT PBE
data_Pm2MnNi4As3
_symmetry_space_group_name_H-M 'P 1'
_symmetry_Int_Tables_number 1
_cell_length_a 4.0685
_cell_length_b 4.0685
_cell_length_c 9.9147
_cell_angle_alpha 90.00
_cell_angle_beta 90.00
_cell_angle_gamma 90.00
loop_
_symmetry_equiv_pos_as_xyz
'x,y,z'
loop_
_atom_site_label
_atom_site_type_symbol
_atom_site_fract_x
_atom_site_fract_y
_atom_site_fract_z
Ni1 Ni 0.0000 0.0000 0.0000
Ni2 Ni 0.5000 0.5000 0.0000
Ni3 Ni 0.5000 0.0000 0.6311
Ni4 Ni 0.0000 0.5000 0.3689
As1 As 0.0000 0.5000 0.1318
As2 As 0.0000 0.0000 0.5000
As3 As 0.5000 0.0000 0.8682
Mn1 Mn 0.5000 0.5000 0.5000
Pm1 Pm 0.5000 0.0000 0.2438
Pm2 Pm 0.0000 0.5000 0.7562
# Energy of formation from the pure elements, kJ/mol of formula units: -688
# VASP energy, eV per atom: -6.287
# Space-group type: P-4m2, No. 115

---

Entry 3:
# Pr2MnNi3As4, relaxed, DFT PBE
data_Pr2MnNi3As4
_symmetry_space_group_name_H-M 'P 1'
_symmetry_Int_Tables_number 1
_cell_length_a 4.2389
_cell_length_b 4.2389
_cell_length_c 9.7284
_cell_angle_alpha 90.00
_cell_angle_beta 90.00
_cell_angle_gamma 90.00
loop_
_symmetry_equiv_pos_as_xyz
'x,y,z'
loop_
_atom_site_label
_atom_site_type_symbol
_atom_site_fract_x
_atom_site_fract_y
_atom_site_fract_z
As1 As 0.0000 0.5000 0.3643
As2 As 0.0000 0.0000 0.0000
As3 As 0.5000 0.5000 0.0000
As4 As 0.5000 0.0000 0.6357
Mn1 Mn 0.5000 0.5000 0.5000
Ni1 Ni 0.0000 0.5000 0.1155
Ni2 Ni 0.5000 0.0000 0.8845
Ni3 Ni 0.0000 0.0000 0.5000
Pr1 Pr 0.0000 0.5000 0.7573
Pr2 Pr 0.5000 0.0000 0.2427
# Energy of formation from the pure elements, kJ/mol of formula units: -742
# VASP energy, eV per atom: -6.236
# Space-group type: P-4m2, No. 115

---

Entry 4:
# Mn2Ni7As2Pt, relaxed, DFT PBE
data_Mn2Ni7As2Pt
_symmetry_space_group_name_H-M 'P 1'
_symmetry_Int_Tables_number 1
_cell_length_a 3.6516
_cell_length_b 3.6516
_cell_length_c 12.5187
_cell_angle_alpha 72.79
_cell_angle_beta 72.79
_cell_angle_gamma 89.24
loop_
_symmetry_equiv_pos_as_xyz
'x,y,z'
loop_
_atom_site_label
_atom_site_type_symbol
_atom_site_fract_x
_atom_site_fract_y
_atom_site_fract_z
Ni1 Ni 0.6630 0.1631 0.8370
Ni2 Ni 0.3370 0.8369 0.1630
Ni3 Ni 0.2662 0.2662 0.5002
Ni4 Ni 0.1631 0.6630 0.8370
Ni5 Ni 0.5000 0.5000 0.0000
Ni6 Ni 0.7338 0.7338 0.4998
Ni7 Ni 0.8369 0.3370 0.1630
Pt1 Pt 0.0000 0.0000 0.0000
Mn1 Mn 0.8253 0.8253 0.6743
Mn2 Mn 0.1747 0.1747 0.3257
As1 As 0.6906 0.6906 0.3094
As2 As 0.3094 0.3094 0.6906
# Energy of formation from the pure elements, kJ/mol of formula units: -81
# VASP energy, eV per atom: -6.249
# Space-group type: Cmmm, No. 65

---

Entry 5:
# Pu2MnNi3As4, relaxed, DFT PBE
data_Pu2MnNi3As4
_symmetry_space_group_name_H-M 'P 1'
_symmetry_Int_Tables_number 1
_cell_length_a 4.1924
_cell_length_b 4.1924
_cell_length_c 9.5861
_cell_angle_alpha 90.00
_cell_angle_beta 90.00
_cell_angle_gamma 90.00
loop_
_symmetry_equiv_pos_as_xyz
'x,y,z'
loop_
_atom_site_label
_atom_site_type_symbol
_atom_site_fract_x
_atom_site_fract_y
_atom_site_fract_z
Ni1 Ni 0.0000 0.0000 0.5000
Ni2 Ni 0.5000 0.0000 0.8848
Ni3 Ni 0.0000 0.5000 0.1152
Pu1 Pu 0.0000 0.5000 0.7625
Pu2 Pu 0.5000 0.0000 0.2375
As1 As 0.0000 0.5000 0.3599
As2 As 0.5000 0.0000 0.6401
As3 As 0.0000 0.0000 0.0000
As4 As 0.5000 0.5000 0.0000
Mn1 Mn 0.5000 0.5000 0.5000
# Energy of formation from the pure elements, kJ/mol of formula units: -568
# VASP energy, eV per atom: -7.966
# Space-group type: P-4m2, No. 115

---

Entry 6:
# MnNiAsRh, relaxed, DFT PBE
data_MnNiAsRh
_symmetry_space_group_name_H-M 'P 1'
_symmetry_Int_Tables_number 1
_cell_length_a 4.2550
_cell_length_b 4.2550
_cell_length_c 4.2550
_cell_angle_alpha 60.00
_cell_angle_beta 60.00
_cell_angle_gamma 60.00
loop_
_symmetry_equiv_pos_as_xyz
'x,y,z'
loop_
_atom_site_label
_atom_site_type_symbol
_atom_site_fract_x
_atom_site_fract_y
_atom_site_fract_z
As1 As 0.5000 0.5000 0.5000
Mn1 Mn 0.0000 0.0000 0.0000
Ni1 Ni 0.2500 0.2500 0.2500
Rh1 Rh 0.7500 0.7500 0.7500
# Energy of formation from the pure elements, kJ/mol of formula units: -53
# VASP energy, eV per atom: -6.876
# Space-group type: F-43m, No. 216

---

Entry 7:
# MnNiAsRu, relaxed, DFT PBE
data_MnNiAsRu
_symmetry_space_group_name_H-M 'P 1'
_symmetry_Int_Tables_number 1
_cell_length_a 4.2224
_cell_length_b 4.2224
_cell_length_c 4.2224
_cell_angle_alpha 60.00
_cell_angle_beta 60.00
_cell_angle_gamma 60.00
loop_
_symmetry_equiv_pos_as_xyz
'x,y,z'
loop_
_atom_site_label
_atom_site_type_symbol
_atom_site_fract_x
_atom_site_fract_y
_atom_site_fract_z
As1 As 0.2500 0.2500 0.2500
Mn1 Mn 0.7500 0.7500 0.7500
Ru1 Ru 0.0000 0.0000 0.0000
Ni1 Ni 0.5000 0.5000 0.5000
# Energy of formation from the pure elements, kJ/mol of formula units: -10
# VASP energy, eV per atom: -7.246
# Space-group type: F-43m, No. 216

---

Entry 8:
# MnNi7Sb2As2, relaxed, DFT PBE
data_MnNi7Sb2As2
_symmetry_space_group_name_H-M 'P 1'
_symmetry_Int_Tables_number 1
_cell_length_a 3.6131
_cell_length_b 3.6131
_cell_length_c 14.4983
_cell_angle_alpha 82.76
_cell_angle_beta 82.76
_cell_angle_gamma 90.00
loop_
_symmetry_equiv_pos_as_xyz
'x,y,z'
loop_
_atom_site_label
_atom_site_type_symbol
_atom_site_fract_x
_atom_site_fract_y
_atom_site_fract_z
Ni1 Ni 0.6955 0.6955 0.6083
Ni2 Ni 0.0636 0.5636 0.8747
Ni3 Ni 0.3045 0.3045 0.3917
Ni4 Ni 0.9364 0.4364 0.1253
Ni5 Ni 0.5000 0.5000 0.0000
Ni6 Ni 0.4364 0.9364 0.1253
Ni7 Ni 0.5636 0.0636 0.8747
Sb1 Sb 0.2121 0.2121 0.5759
Sb2 Sb 0.7879 0.7879 0.4241
Mn1 Mn 0.0000 0.0000 0.0000
As1 As 0.6157 0.6157 0.7713
As2 As 0.3843 0.3843 0.2287
# VASP energy, eV per atom: -5.764
# Space-group type: C2/m, No. 12

---

Entry 9:
# MnNiAs2Se, relaxed, DFT PBE
data_MnNiAs2Se
_symmetry_space_group_name_H-M 'P 1'
_symmetry_Int_Tables_number 1
_cell_length_a 4.5497
_cell_length_b 4.5497
_cell_length_c 4.7732
_cell_angle_alpha 90.00
_cell_angle_beta 90.00
_cell_angle_gamma 90.00
loop_
_symmetry_equiv_pos_as_xyz
'x,y,z'
loop_
_atom_site_label
_atom_site_type_symbol
_atom_site_fract_x
_atom_site_fract_y
_atom_site_fract_z
Se1 Se 0.0000 0.0000 0.5000
As1 As 0.5000 0.0000 0.0000
As2 As 0.0000 0.5000 0.0000
Ni1 Ni 0.5000 0.5000 0.5000
Mn1 Mn 0.0000 0.0000 0.0000
# Offset from the most stable computed form, eV/f.u.: 0.00
# VASP energy, eV per atom: -4.892
# Space-group type: P4/mmm, No. 123

---

Entry 10:
# MnNi7Sn2As2, relaxed, DFT PBE
data_MnNi7Sn2As2
_symmetry_space_group_name_H-M 'P 1'
_symmetry_Int_Tables_number 1
_cell_length_a 3.5753
_cell_length_b 3.5753
_cell_length_c 14.8225
_cell_angle_alpha 82.92
_cell_angle_beta 82.92
_cell_angle_gamma 90.00
loop_
_symmetry_equiv_pos_as_xyz
'x,y,z'
loop_
_atom_site_label
_atom_site_type_symbol
_atom_site_fract_x
_atom_site_fract_y
_atom_site_fract_z
Mn1 Mn 0.0000 0.0000 0.0000
Ni1 Ni 0.0638 0.5641 0.8761
Ni2 Ni 0.9362 0.4359 0.1239
Ni3 Ni 0.4359 0.9362 0.1239
Ni4 Ni 0.5641 0.0638 0.8761
Ni5 Ni 0.5000 0.5000 0.0000
Ni6 Ni 0.3083 0.3083 0.3845
Ni7 Ni 0.6917 0.6917 0.6155
Sn1 Sn 0.2127 0.2127 0.5747
Sn2 Sn 0.7873 0.7873 0.4253
As1 As 0.3842 0.3842 0.2266
As2 As 0.6158 0.6158 0.7734
# Energy of formation from the pure elements, kJ/mol of formula units: -177
# VASP energy, eV per atom: -5.732
# Space-group type: C2/m, No. 12

---

Entry 11:
# SrMnNiAs2, relaxed, DFT PBE
data_SrMnNiAs2
_symmetry_space_group_name_H-M 'P 1'
_symmetry_Int_Tables_number 1
_cell_length_a 3.9105
_cell_length_b 3.9105
_cell_length_c 6.7330
_cell_angle_alpha 106.88
_cell_angle_beta 106.88
_cell_angle_gamma 90.00
loop_
_symmetry_equiv_pos_as_xyz
'x,y,z'
loop_
_atom_site_label
_atom_site_type_symbol
_atom_site_fract_x
_atom_site_fract_y
_atom_site_fract_z
As1 As 0.3568 0.3568 0.7136
As2 As 0.6432 0.6432 0.2864
Sr1 Sr 0.0000 0.0000 0.0000
Mn1 Mn 0.7500 0.2500 0.5000
Ni1 Ni 0.2500 0.7500 0.5000
# Energy of formation from the pure elements, kJ/mol of formula units: -284
# VASP energy, eV per atom: -5.775
# Space-group type: I-4m2, No. 119

---

Entry 12:
# MnNi7Te2As2, relaxed, DFT PBE
data_MnNi7Te2As2
_symmetry_space_group_name_H-M 'P 1'
_symmetry_Int_Tables_number 1
_cell_length_a 3.6722
_cell_length_b 3.6722
_cell_length_c 14.1599
_cell_angle_alpha 82.63
_cell_angle_beta 82.63
_cell_angle_gamma 90.00
loop_
_symmetry_equiv_pos_as_xyz
'x,y,z'
loop_
_atom_site_label
_atom_site_type_symbol
_atom_site_fract_x
_atom_site_fract_y
_atom_site_fract_z
As1 As 0.3862 0.3862 0.2292
As2 As 0.6138 0.6138 0.7708
Ni1 Ni 0.0624 0.5622 0.8740
Ni2 Ni 0.5622 0.0624 0.8740
Ni3 Ni 0.9376 0.4378 0.1260
Ni4 Ni 0.5000 0.5000 0.0000
Ni5 Ni 0.6995 0.6995 0.6024
Ni6 Ni 0.4378 0.9376 0.1260
Ni7 Ni 0.3005 0.3005 0.3976
Te1 Te 0.7915 0.7915 0.4164
Te2 Te 0.2085 0.2085 0.5836
Mn1 Mn 0.0000 0.0000 0.0000
# VASP energy, eV per atom: -5.600
# Space-group type: C2/m, No. 12

---

- What is the VASP energy in the eighth record?
  -5.764 eV per atom

---

- Which of these has the highest VASP energy?
  MnNiAs2Se

---

- What is the VASP energy in the tenth record?
  -5.732 eV per atom